{"formula": "Li4MnCo2O7", "functional": "GGA+U", "state": "relaxed", "lattice": [[4.9927, 0.0000, 0.0000], [1.2592, 5.8296, 0.0000], [0.5562, 0.0848, 8.7296]], "species": ["Li", "Li", "Li", "Li", "Li", "Li", "Li", "Li", "Mn", "Mn", "Co", "Co", "Co", "Co", "O", "O", "O", "O", "O", "O", "O", "O", "O", "O", "O", "O", "O", "O"], "fractional_positions": [[0.0000, 0.0000, 0.0000], [0.0000, 0.5000, 0.0000], [0.1489, 0.2140, 0.7212], [0.2797, 0.9306, 0.4288], [0.4224, 0.6434, 0.1412], [0.5776, 0.3566, 0.8588], [0.7203, 0.0694, 0.5712], [0.8511, 0.7860, 0.2788], [0.2857, 0.4271, 0.4254], [0.7143, 0.5729, 0.5746], [0.1385, 0.7181, 0.7177], [0.4352, 0.1280, 0.1374], [0.5648, 0.8720, 0.8626], [0.8615, 0.2819, 0.2823], [0.0078, 0.2530, 0.4834], [0.1267, 0.4639, 0.2232], [0.1697, 0.9849, 0.2078], [0.3065, 0.1695, 0.9406], [0.3079, 0.6904, 0.9095], [0.4083, 0.8907, 0.6614], [0.4343, 0.3981, 0.6303], [0.5657, 0.6019, 0.3697], [0.5917, 0.1093, 0.3386], [0.6921, 0.3096, 0.0905], [0.6935, 0.8305, 0.0594], [0.8303, 0.0151, 0.7922], [0.8733, 0.5361, 0.7768], [0.9922, 0.7470, 0.5166]], "spacegroup": "P-1, No. 2", "crystal_system": "triclinic"}

---

{"formula": "Li5MnCo2O8", "functional": "GGA+U", "state": "relaxed", "lattice": [[4.9204, 0.0000, 0.0000], [0.7987, 4.9697, 0.0000], [0.0068, 1.6716, 5.4691]], "species": ["Li", "Li", "Li", "Li", "Li", "Mn", "Co", "Co", "O", "O", "O", "O", "O", "O", "O", "O"], "fractional_positions": [[0.0000, 0.0000, 0.0000], [0.2381, 0.4885, 0.8820], [0.2487, 0.5015, 0.3684], [0.7513, 0.4985, 0.6316], [0.7619, 0.5115, 0.1180], [0.0000, 0.0000, 0.5000], [0.4994, 0.9994, 0.7561], [0.5006, 0.0006, 0.2439], [0.1376, 0.2266, 0.2052], [0.1395, 0.2238, 0.6807], [0.3681, 0.7818, 0.5546], [0.3976, 0.7786, 0.0569], [0.6024, 0.2214, 0.9431], [0.6319, 0.2182, 0.4454], [0.8605, 0.7762, 0.3193], [0.8624, 0.7734, 0.7948]], "spacegroup": "P-1, No. 2", "crystal_system": "triclinic"}

---

{"formula": "LiMn2CoO6", "functional": "GGA+U", "state": "relaxed", "lattice": [[6.4309, -1.4328, 0.0000], [6.4309, 1.4328, 0.0000], [-1.6019, 0.0000, 5.6089]], "species": ["Li", "Mn", "Mn", "Co", "O", "O", "O", "O", "O", "O"], "fractional_positions": [[0.0000, 0.0000, 0.0000], [0.3296, 0.3296, 0.1841], [0.6704, 0.6704, 0.8159], [0.0000, 0.0000, 0.5000], [0.1562, 0.1562, 0.5972], [0.1741, 0.1741, 0.0463], [0.4837, 0.4837, 0.2682], [0.5163, 0.5163, 0.7318], [0.8259, 0.8259, 0.9537], [0.8438, 0.8438, 0.4028]], "spacegroup": "C2/m, No. 12", "crystal_system": "monoclinic"}

---

{"formula": "Li4MnCo2O7", "functional": "GGA+U", "state": "relaxed", "lattice": [[2.8770, 0.0000, 0.0000], [0.1017, 5.8491, 0.0000], [1.3285, 1.6070, 14.4820]], "species": ["Li", "Li", "Li", "Li", "Li", "Li", "Li", "Li", "Mn", "Mn", "Co", "Co", "Co", "Co", "O", "O", "O", "O", "O", "O", "O", "O", "O", "O", "O", "O", "O", "O"], "fractional_positions": [[0.0000, 0.0000, 0.0000], [0.0000, 0.5000, 0.0000], [0.1429, 0.0726, 0.7134], [0.2890, 0.6431, 0.4310], [0.4359, 0.2097, 0.1270], [0.5641, 0.7903, 0.8730], [0.7110, 0.3569, 0.5690], [0.8571, 0.9274, 0.2866], [0.4382, 0.7172, 0.1375], [0.5618, 0.2828, 0.8625], [0.1377, 0.5789, 0.7110], [0.2778, 0.1399, 0.4308], [0.7222, 0.8601, 0.5692], [0.8623, 0.4211, 0.2890], [0.0574, 0.5168, 0.8540], [0.0709, 0.0632, 0.8555], [0.2178, 0.0852, 0.5638], [0.2298, 0.6344, 0.5713], [0.3377, 0.1838, 0.2956], [0.3834, 0.6616, 0.2804], [0.4951, 0.7458, 0.0121], [0.5049, 0.2542, 0.9879], [0.6166, 0.3384, 0.7196], [0.6623, 0.8162, 0.7044], [0.7702, 0.3656, 0.4287], [0.7822, 0.9148, 0.4362], [0.9291, 0.9368, 0.1445], [0.9426, 0.4832, 0.1460]], "spacegroup": "P-1, No. 2", "crystal_system": "triclinic"}

---

{"formula": "Li4MnCo2O7", "functional": "GGA+U", "state": "relaxed", "lattice": [[14.3925, -1.4360, 0.0000], [14.3925, 1.4360, 0.0000], [-0.7135, 0.0000, 5.7765]], "species": ["Li", "Li", "Li", "Li", "Li", "Li", "Li", "Li", "Mn", "Mn", "Co", "Co", "Co", "Co", "O", "O", "O", "O", "O", "O", "O", "O", "O", "O", "O", "O", "O", "O"], "fractional_positions": [[0.0000, 0.0000, 0.0000], [0.0011, 0.0011, 0.5013], [0.1465, 0.1465, 0.5714], [0.2909, 0.2909, 0.1486], [0.4369, 0.4369, 0.7034], [0.5667, 0.5667, 0.2925], [0.7165, 0.7165, 0.8693], [0.8637, 0.8637, 0.4263], [0.2894, 0.2894, 0.6479], [0.5730, 0.5730, 0.7881], [0.1469, 0.1469, 0.0794], [0.4331, 0.4331, 0.2190], [0.7179, 0.7179, 0.3582], [0.8610, 0.8610, 0.9357], [0.0764, 0.0764, 0.5685], [0.0792, 0.0792, 0.0249], [0.2144, 0.2144, 0.1344], [0.2208, 0.2208, 0.5896], [0.3567, 0.3567, 0.7029], [0.3638, 0.3638, 0.1574], [0.4975, 0.4975, 0.2463], [0.5098, 0.5098, 0.7612], [0.6446, 0.6446, 0.8525], [0.6507, 0.6507, 0.3063], [0.7867, 0.7867, 0.4030], [0.7909, 0.7909, 0.8905], [0.9274, 0.9274, 0.9853], [0.9314, 0.9314, 0.4392]], "spacegroup": "Cm, No. 8", "crystal_system": "monoclinic"}

---

{"formula": "Li4MnCo2O7", "functional": "GGA+U", "state": "relaxed", "lattice": [[5.0425, 0.0000, 0.0000], [0.8170, 6.5860, 0.0000], [1.7992, 0.3250, 7.5975]], "species": ["Li", "Li", "Li", "Li", "Li", "Li", "Li", "Li", "Mn", "Mn", "Co", "Co", "Co", "Co", "O", "O", "O", "O", "O", "O", "O", "O", "O", "O", "O", "O", "O", "O"], "fractional_positions": [[0.0000, 0.0000, 0.0000], [0.0616, 0.8652, 0.3448], [0.2196, 0.5801, 0.0701], [0.3528, 0.2795, 0.7972], [0.5000, 0.0000, 0.5000], [0.6472, 0.7205, 0.2028], [0.7804, 0.4199, 0.9299], [0.9384, 0.1348, 0.6552], [0.2869, 0.4283, 0.4276], [0.7131, 0.5717, 0.5724], [0.1256, 0.7216, 0.7319], [0.4453, 0.1303, 0.1403], [0.5547, 0.8697, 0.8597], [0.8744, 0.2784, 0.2681], [0.0280, 0.4384, 0.6580], [0.1064, 0.2881, 0.0516], [0.1784, 0.1666, 0.3927], [0.2653, 0.9852, 0.7474], [0.3374, 0.8627, 0.1022], [0.4015, 0.6873, 0.4767], [0.4743, 0.5773, 0.8023], [0.5257, 0.4227, 0.1977], [0.5985, 0.3127, 0.5233], [0.6626, 0.1373, 0.8978], [0.7347, 0.0148, 0.2526], [0.8216, 0.8334, 0.6073], [0.8936, 0.7119, 0.9484], [0.9720, 0.5616, 0.3420]], "spacegroup": "P-1, No. 2", "crystal_system": "triclinic"}

---

The records above yield energy values of -5.79 -5.75 -6.30 -5.84 -5.84 -5.82 eV/atom, respectively.